A plane-wave DFT calculation with GGA+U was carried out for a relaxed CaLaVFeO6 crystal.

Output
DFT total energy = -72.97 eV/f.u.
distance to the lowest polymorph of the same formula = 190 meV/atom
space group = P1
calculated volume = 235 Å³ per cell

The structure in CIF format:
```
data_CaLaVFeO6
_chemical_formula_sum 'Ca2 La2 V2 Fe2 O12'
_space_group_name_H-M_alt 'P 1'
_space_group_IT_number 1
_space_group_name_Hall 'P 1'
_cell_length_a 5.4611
_cell_length_b 7.7420
_cell_length_c 5.5500
_cell_angle_alpha 90.14
_cell_angle_beta 89.93
_cell_angle_gamma 90.02
loop_
_atom_site_label
_atom_site_fract_x
_atom_site_fract_y
_atom_site_fract_z
Ca1 0.5102 0.2513 0.5497
Ca2 0.0102 0.7508 0.9512
La1 0.9928 0.2490 0.0393
La2 0.4927 0.7484 0.4589
V1 0.4999 0.9988 0.9978
V2 0.9999 0.4987 0.5024
Fe1 0.9998 0.0004 0.4993
Fe2 0.4996 0.5006 0.0014
O1 0.5819 0.7612 0.0168
O2 0.0823 0.2610 0.4823
O3 0.2185 0.9590 0.1954
O4 0.7187 0.4588 0.3049
O5 0.1932 0.5441 0.2205
O6 0.6940 0.0442 0.2796
O7 0.9262 0.7396 0.5223
O8 0.4268 0.2395 0.9786
O9 0.2770 0.5378 0.7029
O10 0.7771 0.0378 0.7968
O11 0.2994 0.9595 0.7212
O12 0.7998 0.4596 0.7788
```